Record 1
4
Lattice="4.883 0.000 0.000 2.441 4.229 0.000 2.441 1.410 3.987" Properties=species:S:1:pos:R:3 comment="LuPuBeGa (PBE-GGA, relaxed)" crystal_system=cubic pbc="T T T"
Lu 0.000 0.000 0.000
Ga 2.441 1.410 0.997
Be 7.324 4.229 2.990
Pu 4.883 2.819 1.993

Record 2
6
Lattice="4.066 0.000 0.000 0.000 3.252 0.000 0.000 0.000 7.062" Properties=species:S:1:pos:R:3 comment="MgBeGa (PBE-GGA, relaxed)" crystal_system=orthorhombic pbc="T T T"
Ga 2.033 3.252 5.902
Be 0.000 0.001 0.020
Mg 0.000 1.626 4.725
Ga 0.000 0.000 2.371
Be 2.033 3.251 3.551
Mg 2.033 1.626 1.194

Record 3
4
Lattice="3.021 0.000 0.000 1.511 2.616 0.000 1.511 0.872 9.702" Properties=species:S:1:pos:R:3 comment="Mg2BeGa (PBE-GGA, relaxed)" crystal_system=trigonal pbc="T T T"
Be 0.000 0.000 0.000
Mg 4.532 2.616 2.557
Mg 1.511 0.872 7.145
Ga 3.021 1.744 4.851

What are the volume values for these records? In order: 20.58 15.56 19.17 Å³/atom.
What are the final energy values for these records? In order: -25.9 -16.3 -8.1 eV per cell.
What are the DFT formation energy values for these records? In order: -0.085 0.062 0.468 eV/atom.